(1)
DFT (GGA-PBE) results for an optimized crystal structure of Sr3InAg3.

The structure in CIF format:
```
data_Sr3InAg3
_space_group_name_H-M_alt 'P 1'
_space_group_IT_number 1
_cell_length_a 6.418
_cell_length_b 9.547
_cell_length_c 9.547
_cell_angle_alpha 120.00
_cell_angle_beta 90.00
_cell_angle_gamma 90.00
loop_
_space_group_symop_operation_xyz
'x,y,z'
loop_
_atom_site_label
_atom_site_fract_x
_atom_site_fract_y
_atom_site_fract_z
Sr1 0.750 0.384 0.068
Sr2 0.750 0.684 0.616
Sr3 0.250 0.068 0.684
Sr4 0.250 0.616 0.932
Sr5 0.750 0.932 0.316
Sr6 0.250 0.316 0.384
Ag1 0.750 0.296 0.355
Ag2 0.250 0.942 0.296
Ag3 0.750 0.058 0.704
Ag4 0.750 0.645 0.942
Ag5 0.250 0.355 0.058
Ag6 0.250 0.704 0.645
In1 0.250 0.667 0.333
In2 0.750 0.333 0.667
```

The calculation puts the uncorrected energy at -2.4740 eV per atom. Its space-group type is P6_3/m (176). The formation energy is -0.14 eV/atom.

***

(2)
DFT (GGA-PBE) results for an optimized crystal structure of Sr2In7Ag12.

The structure in CIF format:
```
data_Sr2In7Ag12
_space_group_name_H-M_alt 'P 1'
_space_group_IT_number 1
_cell_length_a 4.745
_cell_length_b 10.934
_cell_length_c 10.935
_cell_angle_alpha 120.00
_cell_angle_beta 90.00
_cell_angle_gamma 90.00
loop_
_space_group_symop_operation_xyz
'x,y,z'
loop_
_atom_site_label
_atom_site_fract_x
_atom_site_fract_y
_atom_site_fract_z
In1 0.500 0.000 0.000
In2 0.691 0.600 0.886
In3 0.309 0.714 0.600
In4 0.691 0.286 0.400
In5 0.309 0.400 0.114
In6 0.309 0.886 0.286
In7 0.691 0.114 0.714
Sr1 0.217 0.333 0.667
Sr2 0.783 0.667 0.333
Ag1 0.181 0.130 0.873
Ag2 0.205 0.616 0.049
Ag3 0.819 0.257 0.130
Ag4 0.181 0.127 0.257
Ag5 0.181 0.743 0.870
Ag6 0.205 0.951 0.568
Ag7 0.819 0.870 0.127
Ag8 0.795 0.049 0.432
Ag9 0.205 0.432 0.384
Ag10 0.795 0.568 0.616
Ag11 0.795 0.384 0.951
Ag12 0.819 0.873 0.743
```

The calculation puts the uncorrected energy at -2.7917 eV per atom. Its space-group type is P-3 (147). The formation energy is -0.09 eV/atom.

***

- What is the uncorrected energy in the second record?
  -2.7917 eV per atom